Entry 1:
# TaAgSb PBE relaxed
# ΔE to the lowest computed polymorph	0.072	eV/atom
data_TaAgSb
_chemical_formula_sum 'Ta2 Ag2 Sb2'
_space_group_name_H-M_alt 'I m m 2'
_space_group_IT_number 44
_cell_length_a 3.109
_cell_length_b 3.692
_cell_length_c 10.453
_cell_angle_alpha 90.00
_cell_angle_beta 90.00
_cell_angle_gamma 90.00
loop_
_space_group_symop_operation_xyz
'x,y,z'
'-x,-y,z'
'-x,y,z'
'x,-y,z'
'x+1/2,y+1/2,z+1/2'
'-x+1/2,-y+1/2,z+1/2'
'-x+1/2,y+1/2,z+1/2'
'x+1/2,-y+1/2,z+1/2'
loop_
_atom_site_label
_atom_site_type_symbol
_atom_site_fract_x
_atom_site_fract_y
_atom_site_fract_z
_atom_site_occupancy
Ta1 Ta 0.000 0.000 0.000 1
Ag1 Ag 0.000 0.000 0.661 1
Sb1 Sb 0.000 0.000 0.336 1


Entry 2:
# KMo2Os PBE relaxed
# ΔE to the lowest computed polymorph	0.794	eV/atom
# formation enthalpy at 0 K	605	kJ/mol of formula units
data_KMo2Os
_chemical_formula_sum 'K1 Mo2 Os1'
_space_group_name_H-M_alt 'P 4/m m m'
_space_group_IT_number 123
_space_group_name_Hall '-P 4 2'
_cell_length_a 4.899
_cell_length_b 4.899
_cell_length_c 2.843
_cell_angle_alpha 90.00
_cell_angle_beta 90.00
_cell_angle_gamma 90.00
loop_
_atom_site_label
_atom_site_type_symbol
_atom_site_fract_x
_atom_site_fract_y
_atom_site_fract_z
_atom_site_occupancy
K1 K 0.000 0.000 0.000 1
Mo1 Mo 0.000 0.500 0.500 1
Os1 Os 0.500 0.500 0.000 1


Entry 3:
# Co3PdPb PBE relaxed
# ΔE to the lowest computed polymorph	0.620	eV/atom
# formation enthalpy at 0 K	841	kJ/mol of formula units
data_Co3PdPb
_chemical_formula_sum 'Co3 Pd1 Pb1'
_space_group_name_H-M_alt 'P m -3 m'
_space_group_IT_number 221
_space_group_name_Hall '-P 4 2 3'
_cell_length_a 4.754
_cell_length_b 4.754
_cell_length_c 4.754
_cell_angle_alpha 90.00
_cell_angle_beta 90.00
_cell_angle_gamma 90.00
loop_
_atom_site_label
_atom_site_type_symbol
_atom_site_fract_x
_atom_site_fract_y
_atom_site_fract_z
_atom_site_occupancy
Co1 Co 0.000 0.000 0.500 1
Pd1 Pd 0.500 0.500 0.500 1
Pb1 Pb 0.000 0.000 0.000 1


no.,raw total energy (eV per cell)
1,-35.317
2,-27.716
3,-21.505